--- P ---
Density functional theory data (PBE) for a relaxed TlPBr crystal.

abc: 4.3644 4.3644 5.0666
angles: 90.00 90.00 120.00
Fractional positions:
Br1 0.0000 0.0000 0.0048
P1 0.6667 0.3333 0.4232
Tl1 0.3333 0.6667 0.5720

Properties
Total moment (μB/cell): 0.002

--- Q ---
Density functional theory data (PBE) for a relaxed TlPBr crystal.

abc: 4.9798 4.9798 4.9798
angles: 60.00 60.00 60.00
Fractional positions:
Br1 0.0000 0.0000 0.0000
P1 0.5000 0.5000 0.5000
Tl1 0.7500 0.7500 0.7500

Properties
Total moment (μB/cell): 0.016

Most stable: P. Least stable: Q.

--- P ---
Density functional theory data (PBE) for a relaxed UPBr crystal.

abc: 4.7486 8.2155 10.3093
angles: 94.42 103.32 90.00
Site moments in Bohr magnetons follow the coordinates.
Fractional positions:
Br1 0.0971 0.3319 0.1942  -0.03
Br2 0.4237 0.1581 0.8474  -0.03
Br3 0.5763 0.8419 0.1526  -0.03
Br4 0.9029 0.6681 0.8058  -0.03
P1 0.2327 0.6221 0.4655  -0.10
P2 0.7590 0.8766 0.5179  -0.10
P3 0.7673 0.3779 0.5345  -0.10
P4 0.2410 0.1234 0.4821  -0.10
U1 0.3233 0.3997 0.6467  2.05
U2 0.6786 0.1203 0.3571  2.01
U3 0.6767 0.6003 0.3533  2.05
U4 0.3214 0.8797 0.6429  2.01

Properties
Total moment (μB/cell): 7.994

--- Q ---
Density functional theory data (PBE) for a relaxed UPBr crystal.

abc: 3.8943 3.9027 12.4128
angles: 90.00 81.55 90.00
Site moments in Bohr magnetons follow the coordinates.
Fractional positions:
U1 0.5089 0.0723 0.4204  1.81
U2 0.1273 0.5723 0.1679  1.81
P1 0.6159 0.0723 0.1922  -0.09
P2 0.0203 0.5723 0.3962  -0.09
Br1 0.4085 0.0722 0.6352  -0.07
Br2 0.2277 0.5722 0.9531  -0.07

Properties
Total moment (μB/cell): 3.707

Most stable: Q. Least stable: P.

--- P ---
Density functional theory data (PBE) for a relaxed V2PBr crystal.

abc: 4.3382 4.3382 4.3382
angles: 60.00 60.00 60.00
Site moments in Bohr magnetons follow the coordinates.
Fractional positions:
P1 0.0000 0.0000 0.0000  -0.09
Br1 0.5000 0.5000 0.5000  -0.04
V1 0.2500 0.2500 0.2500  1.00
V2 0.7500 0.7500 0.7500  1.00

Properties
Total moment (μB/cell): 2.151

--- Q ---
Density functional theory data (PBE) for a relaxed V2PBr crystal.

abc: 5.6634 5.6634 7.0961
angles: 66.48 66.48 90.00
Site moments in Bohr magnetons follow the coordinates.
Fractional positions:
P1 0.5000 0.5000 0.0000  -0.17
P2 0.2500 0.7500 0.5000  -0.17
Br1 0.0000 0.0000 0.0000  -0.02
Br2 0.7500 0.2500 0.5000  -0.02
V1 0.5790 0.1250 0.2500  2.55
V2 0.1710 0.6250 0.2500  2.55
V3 0.3750 0.4210 0.7500  2.55
V4 0.8750 0.8290 0.7500  2.55

Properties
Total moment (μB/cell): 11.952

Most stable: Q. Least stable: P.

--- P ---
Density functional theory data (PBE) for a relaxed VPBr2 crystal.

abc: 10.7975 10.7975 10.7975
angles: 17.40 17.40 17.40
Site moments in Bohr magnetons follow the coordinates.
Fractional positions:
P1 0.0000 0.0000 0.0000  0.35
Br1 0.8866 0.8866 0.8866  0.01
Br2 0.1134 0.1134 0.1134  0.01
V1 0.5000 0.5000 0.5000  0.87

Properties
Total moment (μB/cell): 1.791

--- Q ---
Density functional theory data (PBE) for a relaxed VPBr2 crystal.

abc: 4.7819 4.7819 4.7819
angles: 60.00 60.00 60.00
Site moments in Bohr magnetons follow the coordinates.
Fractional positions:
P1 0.0000 0.0000 0.0000  -0.26
Br1 0.2500 0.2500 0.2500  -0.09
Br2 0.7500 0.7500 0.7500  -0.09
V1 0.5000 0.5000 0.5000  2.34

Properties
Total moment (μB/cell): 1.940

Most stable: P. Least stable: Q.

--- P ---
Density functional theory data (PBE) for a relaxed VP2Br crystal.

abc: 5.9196 5.9196 7.0595
angles: 65.21 65.21 90.00
Fractional positions:
P1 0.5305 0.1250 0.2500
P2 0.2195 0.6250 0.2500
P3 0.3750 0.4695 0.7500
P4 0.8750 0.7805 0.7500
Br1 0.0000 0.0000 0.0000
Br2 0.7500 0.2500 0.5000
V1 0.5000 0.5000 0.0000
V2 0.2500 0.7500 0.5000

Properties
Total moment (μB/cell): 0.000

--- Q ---
Density functional theory data (PBE) for a relaxed VP2Br crystal.

abc: 4.4910 4.4910 4.4910
angles: 60.00 60.00 60.00
Site moments in Bohr magnetons follow the coordinates.
Fractional positions:
P1 0.2500 0.2500 0.2500  -0.02
P2 0.7500 0.7500 0.7500  -0.02
Br1 0.5000 0.5000 0.5000  -0.01
V1 0.0000 0.0000 0.0000  0.38

Properties
Total moment (μB/cell): 0.360

Most stable: P. Least stable: Q.

--- P ---
Density functional theory data (PBE) for a relaxed PWBr2 crystal.

abc: 4.1639 4.3862 4.3862
angles: 90.00 90.00 90.00
Site moments in Bohr magnetons follow the coordinates.
Fractional positions:
Br1 0.0000 0.0000 0.0000  -0.07
Br2 0.0000 0.5000 0.5000  -0.07
P1 0.5000 0.5000 0.0000  -0.13
W1 0.5000 0.0000 0.5000  2.13

Properties
Total moment (μB/cell): 2.373

--- Q ---
Density functional theory data (PBE) for a relaxed PWBr2 crystal.

abc: 3.2409 3.2435 9.2335
angles: 90.00 90.00 90.00
Fractional positions:
Br1 0.0000 0.0000 0.9292
Br2 0.5000 0.5000 0.3147
P1 0.0000 0.0000 0.6816
W1 0.5000 0.5000 0.5745

Properties
Total moment (μB/cell): 0.000

--- R ---
Density functional theory data (PBE) for a relaxed PWBr2 crystal.

abc: 3.1140 5.5262 4.5655
angles: 90.00 90.00 90.00
Site moments in Bohr magnetons follow the coordinates.
Fractional positions:
Br1 0.0000 0.0000 0.0000  0.04
Br2 0.5000 0.5000 0.0000  0.00
P1 0.5000 0.0000 0.5000  -0.06
W1 0.0000 0.5000 0.5000  1.64

Properties
Total moment (μB/cell): 2.044

Most stable: Q. Least stable: P.